# AlIn2Ir meta-GGA SCAN PBEsol geometry
data_AlIn2Ir
_cell_length_a 5.4905
_cell_length_b 8.0183
_cell_length_c 3.2351
_cell_angle_alpha 90.00
_cell_angle_beta 90.00
_cell_angle_gamma 90.00
_symmetry_space_group_name_H-M 'C m m m'
_symmetry_Int_Tables_number 65
_symmetry_space_group_name_Hall '-C 2 2'
loop_
_atom_site_label
_atom_site_fract_x
_atom_site_fract_y
_atom_site_fract_z
_atom_site_occupancy
Al1 0.0000 0.0000 0.0000 1
In1 0.2500 0.2500 0.5000 1
Ir1 0.0000 0.5000 0.0000 1
# Fermi-level density of states = 0.490 states/eV per atom
# ΔH_f (0 K) = 0.26 eV/f.u.
# Spin magnetization = 0.00 Bohr magnetons per cell